# AcUP2S8 PBE relaxed
data_AcUP2S8
_chemical_formula_sum 'Ac1 U1 P2 S8'
_space_group_name_H-M_alt 'P 1'
_space_group_IT_number 1
_space_group_name_Hall 'P 1'
_cell_length_a 6.782
_cell_length_b 6.782
_cell_length_c 8.485
_cell_angle_alpha 90.00
_cell_angle_beta 90.00
_cell_angle_gamma 120.00
loop_
_atom_site_label
_atom_site_type_symbol
_atom_site_fract_x
_atom_site_fract_y
_atom_site_fract_z
Ac1 Ac 0.000 0.000 0.000
U1 U 0.000 0.000 0.500
P1 P 0.333 0.667 0.197
P2 P 0.667 0.333 0.803
S1 S 0.165 0.331 0.283
S2 S 0.165 0.835 0.283
S3 S 0.331 0.165 0.717
S4 S 0.333 0.667 0.963
S5 S 0.667 0.333 0.037
S6 S 0.669 0.835 0.283
S7 S 0.835 0.165 0.717
S8 S 0.835 0.669 0.717
# calculated total energy = -5.66 eV/atom
# raw formation energy = -8.70 eV per formula unit